Density functional theory data (GGA-PBE) for crystalline Mg2BiSb at its relaxed geometry.

Cell lengths 3.5163, 3.5163, 8.3523 Å; angles 90.00, 90.00, 90.00 degrees
With the nearest neighbours (Å) after each atom.
Space group P4/mmm (No. 123)
Inequivalent atoms, fractional coordinates:
Mg 0.0000 0.0000 0.2340  4 Sb 3.16, 4 Bi 3.33, 4 Mg 3.52
Bi 0.5000 0.5000 0.5000  8 Mg 3.33, 4 Bi 3.52
Sb 0.5000 0.5000 0.0000  8 Mg 3.16, 4 Sb 3.52

## Properties
Relative energy among the computed polymorphs in meV/atom: 62

Density functional theory data (GGA-PBE) for crystalline Dy3Er7Mg2 at its relaxed geometry.

Cell lengths 5.6914, 3.4960, 18.3792 Å; angles 90.00, 93.70, 90.00 degrees
With the nearest neighbours (Å) after each atom.
Space group P2/m (No. 10)
Inequivalent atoms, fractional coordinates:
Dy 0.0000 0.0000 0.0000  10 Er 3.33-3.69, 2 Dy 3.50
Dy 0.2766 0.5000 0.6306  2 Dy 3.50, 6 Er 3.57-3.74, 4 Mg 3.61-3.63
Er 0.1816 0.5000 0.1471  2 Mg 3.20, 2 Dy 3.33, 7 Er 3.35-3.50
Er 0.2417 0.0000 0.4611  1 Mg 3.08, 2 Er 3.18-3.19
Er 0.3153 0.0000 0.8308  8 Er 3.36-3.66, 2 Mg 3.61-3.67, 1 Dy 3.69
Er 0.5000 0.5000 0.0000  4 Dy 3.34, 8 Er 3.35-3.66
Mg 0.2044 0.0000 0.2931  3 Er 3.08-3.20

## Properties
Calculated formation energy in meV/atom: 95

Density functional theory data (GGA-PBE) for crystalline CoCuTc2 at its relaxed geometry.

Cell lengths 2.6844, 2.6844, 25.7391 Å; angles 90.00, 90.00, 120.00 degrees
With the nearest neighbours (Å) after each atom.
Space group R3m (No. 160, hexagonal axes)
Inequivalent atoms, fractional coordinates:
Co 0.0000 0.0000 0.0000  3 Cu 2.56, 3 Tc 2.64, 6 Co 2.68
Cu 0.0000 0.0000 0.2542  3 Co 2.56, 6 Cu 2.68, 3 Tc 2.73
Tc 0.0000 0.0000 0.4999  9 Tc 2.65-2.68, 3 Cu 2.73
Tc 0.0000 0.0000 0.7496  3 Co 2.64, 9 Tc 2.65-2.68

## Properties
Relative energy among the computed polymorphs in meV/atom: 40
Calculated formation energy in meV/atom: 165

The calculation returns the following N(E_F) values, one per record and in order: 2.8 14.5 8.8 states/eV per cell.